[1]
Density functional theory data (PBE) for a relaxed Zn2InGa5 crystal.

Cell and atoms, written as POSCAR:
```
Zn2InGa5
1.0
4.0354 0.0000 0.0000
0.0000 7.7452 0.0000
0.0000 0.0000 9.9950
Zn In Ga
4 2 10
direct
0.0000 0.0000 0.2321 Zn
0.0000 0.0000 0.7679 Zn
0.5000 0.5000 0.2679 Zn
0.5000 0.5000 0.7321 Zn
0.0000 0.5000 0.5000 In
0.5000 0.0000 0.0000 In
0.0000 0.0000 0.5000 Ga
0.0000 0.3084 0.1380 Ga
0.0000 0.3084 0.8620 Ga
0.0000 0.6916 0.1380 Ga
0.0000 0.6916 0.8620 Ga
0.5000 0.1916 0.3620 Ga
0.5000 0.1916 0.6380 Ga
0.5000 0.5000 0.0000 Ga
0.5000 0.8084 0.3620 Ga
0.5000 0.8084 0.6380 Ga
```

V, Å³ per atom: 19.52
Spin magnetization, μB/cell: 0.0
Energy, eV per atom: -2.5121
Space group: Immm (71)
Mass density, Mg/m³: 6.3
N(E_F), states/eV/cell: 6.928
Formation energy, eV per atom: 0.04

---

[2]
Density functional theory data (PBE) for a relaxed KRhPb2 crystal.

Cell and atoms, written as POSCAR:
```
KRhPb2
1.0
6.3393 0.0000 0.0000
0.0000 6.3393 0.0000
0.0000 0.0000 16.2383
K Rh Pb
4 4 8
direct
0.0000 0.0000 0.0000 K
0.0000 0.5000 0.2500 K
0.5000 0.0000 0.7500 K
0.5000 0.5000 0.5000 K
0.0000 0.0000 0.5000 Rh
0.0000 0.5000 0.7500 Rh
0.5000 0.0000 0.2500 Rh
0.5000 0.5000 0.0000 Rh
0.0596 0.2500 0.6250 Pb
0.2500 0.5596 0.8750 Pb
0.2500 0.9404 0.3750 Pb
0.4404 0.2500 0.1250 Pb
0.5596 0.7500 0.1250 Pb
0.7500 0.0596 0.3750 Pb
0.7500 0.4404 0.8750 Pb
0.9404 0.7500 0.6250 Pb
```

V, Å³ per atom: 40.79
Spin magnetization, μB/cell: 0.0
Energy, eV per atom: -3.8217
Space group: I-42d (122)
Mass density, Mg/m³: 5.7
N(E_F), states/eV/cell: 4.065
Formation energy, eV per atom: 0.14

---

[3]
Density functional theory data (PBE) for a relaxed Hf2Fe2Rh crystal.

Cell and atoms, written as POSCAR:
```
Hf2Fe2Rh
1.0
6.5313 0.0000 0.0000
0.0000 6.5313 0.0000
0.0000 0.0000 3.6807
Hf Fe Rh
4 4 2
direct
0.1842 0.3158 0.0000 Hf
0.3158 0.8158 0.0000 Hf
0.6842 0.1842 0.0000 Hf
0.8158 0.6842 0.0000 Hf
0.1149 0.6149 0.5000 Fe
0.3851 0.1149 0.5000 Fe
0.6149 0.8851 0.5000 Fe
0.8851 0.3851 0.5000 Fe
0.0000 0.0000 0.5000 Rh
0.5000 0.5000 0.5000 Rh
```

V, Å³ per atom: 15.70
Spin magnetization, μB/cell: 3.4
Energy, eV per atom: -9.1544
Space group: P4/mbm (127)
Mass density, Mg/m³: 12.1
N(E_F), states/eV/cell: 6.427
Formation energy, eV per atom: -0.32

---

> Which of these has the lowest energy?

Hf2Fe2Rh

---

Copy entry 1 word for word.
Density functional theory data (PBE) for a relaxed Zn2InGa5 crystal.

Cell and atoms, written as POSCAR:
```
Zn2InGa5
1.0
4.0354 0.0000 0.0000
0.0000 7.7452 0.0000
0.0000 0.0000 9.9950
Zn In Ga
4 2 10
direct
0.0000 0.0000 0.2321 Zn
0.0000 0.0000 0.7679 Zn
0.5000 0.5000 0.2679 Zn
0.5000 0.5000 0.7321 Zn
0.0000 0.5000 0.5000 In
0.5000 0.0000 0.0000 In
0.0000 0.0000 0.5000 Ga
0.0000 0.3084 0.1380 Ga
0.0000 0.3084 0.8620 Ga
0.0000 0.6916 0.1380 Ga
0.0000 0.6916 0.8620 Ga
0.5000 0.1916 0.3620 Ga
0.5000 0.1916 0.6380 Ga
0.5000 0.5000 0.0000 Ga
0.5000 0.8084 0.3620 Ga
0.5000 0.8084 0.6380 Ga
```

V, Å³ per atom: 19.52
Spin magnetization, μB/cell: 0.0
Energy, eV per atom: -2.5121
Space group: Immm (71)
Mass density, Mg/m³: 6.3
N(E_F), states/eV/cell: 6.928
Formation energy, eV per atom: 0.04

---

> Look up the energy of the first one.

-2.5121 eV per atom

---

> Which value of mass density does entry 2 give?

5.7 Mg/m³